(1)
Density functional theory data (PBE-GGA) for a geometry-optimized Sm6Ge3S2Br structure.

```
data_Sm6Ge3S2Br
_cell_length_a 18.1914
_cell_length_b 4.1998
_cell_length_c 8.3657
_cell_angle_alpha 90.00
_cell_angle_beta 102.57
_cell_angle_gamma 90.00
_symmetry_space_group_name_H-M 'C 1 2/m 1'
_symmetry_Int_Tables_number 12
_symmetry_space_group_name_Hall '-C 2y'
loop_
_atom_site_label
_atom_site_type_symbol
_atom_site_fract_x
_atom_site_fract_y
_atom_site_fract_z
Sm1 Sm 0.0015 0.0000 0.2688
Sm2 Sm 0.1668 0.5000 0.5850
Sm3 Sm 0.1744 0.5000 0.0869
Ge1 Ge 0.0000 0.5000 0.5000
Ge2 Ge 0.1634 0.0000 0.8334
S1 S 0.1676 0.0000 0.3337
Br1 Br 0.0000 0.5000 0.0000
```

Properties
final energy: -5.6942 eV per atom
V: 623.8 Å³/cell
formation energy (no corrections): -1353 meV/atom
magnetization: 0.00 μB per cell


(2)
Density functional theory data (PBE-GGA) for a geometry-optimized TaGeS2Br structure.

```
data_TaGeS2Br
_cell_length_a 5.0098
_cell_length_b 5.0098
_cell_length_c 4.7775
_cell_angle_alpha 90.00
_cell_angle_beta 90.00
_cell_angle_gamma 90.00
_symmetry_space_group_name_H-M 'P 4/m m m'
_symmetry_Int_Tables_number 123
_symmetry_space_group_name_Hall '-P 4 2'
loop_
_atom_site_label
_atom_site_type_symbol
_atom_site_fract_x
_atom_site_fract_y
_atom_site_fract_z
Ta1 Ta 0.0000 0.0000 0.0000
Ge1 Ge 0.5000 0.5000 0.0000
S1 S 0.0000 0.5000 0.5000
Br1 Br 0.0000 0.0000 0.5000
```

Properties
final energy: -3.7884 eV per atom
V: 119.9 Å³/cell
formation energy (no corrections): 1491 meV/atom
magnetization: 0.93 μB per cell


(3)
Density functional theory data (PBE-GGA) for a geometry-optimized GeTeS2Br structure.

```
data_GeTeS2Br
_cell_length_a 4.7689
_cell_length_b 4.7689
_cell_length_c 5.7166
_cell_angle_alpha 90.00
_cell_angle_beta 90.00
_cell_angle_gamma 90.00
_symmetry_space_group_name_H-M 'P 4/m m m'
_symmetry_Int_Tables_number 123
_symmetry_space_group_name_Hall '-P 4 2'
loop_
_atom_site_label
_atom_site_type_symbol
_atom_site_fract_x
_atom_site_fract_y
_atom_site_fract_z
Ge1 Ge 0.0000 0.0000 0.0000
Te1 Te 0.5000 0.5000 0.0000
S1 S 0.0000 0.5000 0.5000
Br1 Br 0.0000 0.0000 0.5000
```

Properties
final energy: -2.6136 eV per atom
V: 130.0 Å³/cell
formation energy (no corrections): 924 meV/atom
magnetization: 0.00 μB per cell


(4)
Density functional theory data (PBE-GGA) for a geometry-optimized GeWSBr2 structure.

```
data_GeWSBr2
_cell_length_a 4.9914
_cell_length_b 4.9914
_cell_length_c 5.1404
_cell_angle_alpha 90.00
_cell_angle_beta 90.00
_cell_angle_gamma 90.00
_symmetry_space_group_name_H-M 'P 4/m m m'
_symmetry_Int_Tables_number 123
_symmetry_space_group_name_Hall '-P 4 2'
loop_
_atom_site_label
_atom_site_type_symbol
_atom_site_fract_x
_atom_site_fract_y
_atom_site_fract_z
Ge1 Ge 0.0000 0.0000 0.0000
W1 W 0.5000 0.5000 0.0000
S1 S 0.0000 0.0000 0.5000
Br1 Br 0.0000 0.5000 0.5000
```

Properties
final energy: -3.4853 eV per atom
V: 128.1 Å³/cell
formation energy (no corrections): 1523 meV/atom
magnetization: 3.92 μB per cell


(5)
Density functional theory data (PBE-GGA) for a geometry-optimized Ge2Sb4Br3 structure.

```
data_Ge2Sb4Br3
_cell_length_a 15.7171
_cell_length_b 11.6428
_cell_length_c 6.7319
_cell_angle_alpha 90.00
_cell_angle_beta 112.38
_cell_angle_gamma 90.00
_symmetry_space_group_name_H-M 'C 1 2/c 1'
_symmetry_Int_Tables_number 15
_symmetry_space_group_name_Hall '-C 2yc'
loop_
_atom_site_label
_atom_site_type_symbol
_atom_site_fract_x
_atom_site_fract_y
_atom_site_fract_z
Ge1 Ge 0.2157 0.1346 0.1116
Sb1 Sb 0.1184 0.2579 0.7586
Sb2 Sb 0.1920 0.0967 0.5015
Br1 Br 0.0000 0.0454 0.2500
Br2 Br 0.1233 0.3863 0.2769
```

Properties
final energy: -3.5304 eV per atom
V: 1139.1 Å³/cell
formation energy (no corrections): -114 meV/atom
magnetization: 0.00 μB per cell


(6)
Density functional theory data (PBE-GGA) for a geometry-optimized Ge3SbBr structure.

```
data_Ge3SbBr
_cell_length_a 5.2007
_cell_length_b 5.2007
_cell_length_c 5.2007
_cell_angle_alpha 90.00
_cell_angle_beta 90.00
_cell_angle_gamma 90.00
_symmetry_space_group_name_H-M 'P m -3 m'
_symmetry_Int_Tables_number 221
_symmetry_space_group_name_Hall '-P 4 2 3'
loop_
_atom_site_label
_atom_site_type_symbol
_atom_site_fract_x
_atom_site_fract_y
_atom_site_fract_z
Ge1 Ge 0.0000 0.0000 0.5000
Sb1 Sb 0.5000 0.5000 0.5000
Br1 Br 0.0000 0.0000 0.0000
```

Properties
final energy: -3.0450 eV per atom
V: 140.7 Å³/cell
formation energy (no corrections): 884 meV/atom
magnetization: 0.00 μB per cell


(7)
Density functional theory data (PBE-GGA) for a geometry-optimized GeSb2Br structure.

```
data_GeSb2Br
_cell_length_a 7.4323
_cell_length_b 7.4323
_cell_length_c 9.9574
_cell_angle_alpha 90.00
_cell_angle_beta 90.00
_cell_angle_gamma 90.00
_symmetry_space_group_name_H-M 'I -4 2 d'
_symmetry_Int_Tables_number 122
_symmetry_space_group_name_Hall 'I -4 2bw'
loop_
_atom_site_label
_atom_site_type_symbol
_atom_site_fract_x
_atom_site_fract_y
_atom_site_fract_z
Ge1 Ge 0.0000 0.0000 0.0000
Sb1 Sb 0.2066 0.2500 0.1250
Br1 Br 0.0000 0.0000 0.5000
```

Properties
final energy: -3.3616 eV per atom
V: 550.0 Å³/cell
formation energy (no corrections): 272 meV/atom
magnetization: 0.00 μB per cell


(8)
Density functional theory data (PBE-GGA) for a geometry-optimized Ge19Sb4Br4 structure.

```
data_Ge19Sb4Br4
_cell_length_a 10.9593
_cell_length_b 10.9593
_cell_length_c 10.9593
_cell_angle_alpha 90.00
_cell_angle_beta 90.00
_cell_angle_gamma 90.00
_symmetry_space_group_name_H-M 'P -4 3 n'
_symmetry_Int_Tables_number 218
_symmetry_space_group_name_Hall 'P -4n 2 3'
loop_
_atom_site_label
_atom_site_type_symbol
_atom_site_fract_x
_atom_site_fract_y
_atom_site_fract_z
Ge1 Ge 0.0000 0.2500 0.5000
Ge2 Ge 0.0099 0.1143 0.6839
Ge3 Ge 0.1778 0.1778 0.8222
Sb1 Sb 0.1831 0.1831 0.1831
Br1 Br 0.0000 0.0000 0.0000
Br2 Br 0.0000 0.5000 0.2500
```

Properties
final energy: -4.2228 eV per atom
V: 1316.3 Å³/cell
formation energy (no corrections): -115 meV/atom
magnetization: 0.00 μB per cell